Entry 1:
First-principles (PBE) data for crystalline AsPb6Se2I3 at its relaxed geometry, as listed in Alexandria.

Calculated values
For the uncorrected formation energy, the calculation gives -34.1 kJ/mol of atoms. The calculation puts the density of states at the Fermi level at 0.42 states/eV per atom. The space-group type is C2/m. The total energy is -3.563 eV per atom.

Unit cell a=7.949 b=7.949 c=8.113 alpha=99.44 beta=99.44 gamma=120.53
Atoms (fractional coordinates):
As1 0.000 0.000 0.000
Pb1 0.934 0.614 0.800
Pb2 0.746 0.746 0.199
Pb3 0.066 0.386 0.200
Pb4 0.614 0.934 0.800
Pb5 0.254 0.254 0.801
Pb6 0.386 0.066 0.200
Se1 0.334 0.666 0.000
Se2 0.666 0.334 0.000
I1 0.170 0.830 0.500
I2 0.830 0.170 0.500
I3 0.500 0.500 0.500


Entry 2:
First-principles (PBE) data for crystalline Ag2ClF at its relaxed geometry, as listed in Alexandria.

Calculated values
For the uncorrected formation energy, the calculation gives -59.8 kJ/mol of atoms. The calculation puts the density of states at the Fermi level at 0.00 states/eV per atom. The space-group type is Fm-3m. For the energy above the lowest structure with this stoichiometry, the calculation gives 76 meV per atom. The total energy is -2.975 eV per atom.

Unit cell a=4.563 b=4.563 c=4.563 alpha=60.00 beta=60.00 gamma=60.00
Atoms (fractional coordinates):
F1 0.000 0.000 0.000
Ag1 0.250 0.250 0.250
Ag2 0.750 0.750 0.750
Cl1 0.500 0.500 0.500


Entry 3:
First-principles (PBE) data for crystalline HoTmS2 at its relaxed geometry, as listed in Alexandria.

Calculated values
For the uncorrected formation energy, the calculation gives -185.4 kJ/mol of atoms. The calculation puts the density of states at the Fermi level at 0.19 states/eV per atom. The space-group type is R3m. For the energy above the lowest structure with this stoichiometry, the calculation gives 33 meV per atom. The total energy is -6.247 eV per atom.

Unit cell a=3.775 b=3.775 c=7.059 alpha=74.49 beta=74.49 gamma=60.00
Atoms (fractional coordinates):
Ho1 0.673 0.673 0.982
Tm1 0.494 0.494 0.517
S1 0.083 0.083 0.752
S2 0.250 0.250 0.249


Entry 4:
First-principles (PBE) data for crystalline Al4BiPb at its relaxed geometry, as listed in Alexandria.

Calculated values
For the formation energy, the calculation gives 203 meV per atom. The calculation puts the density of states at the Fermi level at 0.58 states/eV per atom. The space-group type is F-43m. The total energy is -3.557 eV per atom.

Unit cell a=5.734 b=5.734 c=5.734 alpha=60.00 beta=60.00 gamma=60.00
Atoms (fractional coordinates):
Pb1 0.250 0.250 0.250
Bi1 0.000 0.000 0.000
Al1 0.625 0.625 0.126
Al2 0.625 0.126 0.625
Al3 0.625 0.625 0.625
Al4 0.126 0.625 0.625


Entry 5:
First-principles (PBE) data for crystalline LiCd3P at its relaxed geometry, as listed in Alexandria.

Calculated values
For the formation energy, the calculation gives 295 meV per atom. The calculation puts the density of states at the Fermi level at 0.56 states/eV per atom. The space-group type is Pm-3m. For the energy above the lowest structure with this stoichiometry, the calculation gives 0 meV per atom. The total energy is -1.719 eV per atom.

Unit cell a=5.216 b=5.216 c=5.216 alpha=90.00 beta=90.00 gamma=90.00
Atoms (fractional coordinates):
P1 0.000 0.000 0.000
Li1 0.500 0.500 0.500
Cd1 0.000 0.500 0.000
Cd2 0.000 0.000 0.500
Cd3 0.500 0.000 0.000


Entry 6:
First-principles (PBE) data for crystalline TaVGe2 at its relaxed geometry, as listed in Alexandria.

Calculated values
For the formation energy, the calculation gives 90 meV per atom. The calculation puts the density of states at the Fermi level at 0.91 states/eV per atom. The space-group type is R-3m. For the energy above the lowest structure with this stoichiometry, the calculation gives 110 meV per atom. The total energy is -7.462 eV per atom.

Unit cell a=3.660 b=3.660 c=6.263 alpha=73.01 beta=73.01 gamma=60.00
Each line ends with the local moment (μB).
Atoms (fractional coordinates):
Ge1 0.255 0.255 0.234  -0.03
Ge2 0.745 0.745 0.766  -0.03
V1 0.000 0.000 0.000  0.99
Ta1 0.500 0.500 0.500  -0.08


Entry 7:
First-principles (PBE) data for crystalline BaTiOs at its relaxed geometry, as listed in Alexandria.

Calculated values
For the formation energy, the calculation gives 111 meV per atom. The calculation puts the density of states at the Fermi level at 0.90 states/eV per atom. The space-group type is Cm. For the energy above the lowest structure with this stoichiometry, the calculation gives 82 meV per atom. The total energy is -6.905 eV per atom.

Unit cell a=13.546 b=4.606 c=4.607 alpha=90.00 beta=99.66 gamma=90.00
Atoms (fractional coordinates):
Os1 0.471 0.000 0.552
Os2 0.471 0.500 0.052
Os3 0.692 0.000 0.662
Os4 0.692 0.500 0.162
Ba1 0.291 0.000 0.965
Ba2 0.291 0.500 0.465
Ba3 0.005 0.000 0.816
Ba4 0.005 0.500 0.316
Ti1 0.562 0.000 0.097
Ti2 0.562 0.500 0.597
Ti3 0.785 0.000 0.207
Ti4 0.785 0.500 0.707


Entry 8:
First-principles (PBE) data for crystalline Tm2PO6 at its relaxed geometry, as listed in Alexandria.

Calculated values
For the uncorrected formation energy, the calculation gives -255.6 kJ/mol of atoms. The calculation puts the density of states at the Fermi level at 0.41 states/eV per atom. The space-group type is P4_2/mnm. The total energy is -7.549 eV per atom.

Unit cell a=4.745 b=4.745 c=9.461 alpha=90.00 beta=90.00 gamma=90.00
Each line ends with the local moment (μB).
Atoms (fractional coordinates):
Tm1 0.000 0.000 0.332  -0.02
Tm2 0.500 0.500 0.832  -0.02
Tm3 0.500 0.500 0.168  -0.02
Tm4 0.000 0.000 0.668  -0.02
P1 0.000 0.000 0.000  -0.01
P2 0.500 0.500 0.500  -0.01
O1 0.323 0.323 0.367  0.10
O2 0.677 0.677 0.367  0.10
O3 0.177 0.823 0.867  0.10
O4 0.823 0.177 0.867  0.10
O5 0.177 0.823 0.133  0.10
O6 0.823 0.177 0.133  0.10
O7 0.323 0.323 0.633  0.10
O8 0.677 0.677 0.633  0.10
O9 0.256 0.256 0.000  0.20
O10 0.744 0.744 0.000  0.20
O11 0.244 0.756 0.500  0.20
O12 0.756 0.244 0.500  0.20


Entry 9:
First-principles (PBE) data for crystalline Al2SiNi at its relaxed geometry, as listed in Alexandria.

Calculated values
For the uncorrected formation energy, the calculation gives -17.5 kJ/mol of atoms. The calculation puts the density of states at the Fermi level at 0.26 states/eV per atom. The space-group type is Pmmm. For the energy above the lowest structure with this stoichiometry, the calculation gives 132 meV per atom. The total energy is -4.854 eV per atom.

Unit cell a=2.843 b=3.527 c=5.393 alpha=90.00 beta=90.00 gamma=90.00
Atoms (fractional coordinates):
Ni1 0.500 0.500 0.250
Si1 0.500 0.500 0.750
Al1 0.000 0.000 0.009
Al2 0.000 0.000 0.491


Entry 10:
First-principles (PBE) data for crystalline TiTlAu at its relaxed geometry, as listed in Alexandria.

Calculated values
For the formation energy, the calculation gives -20 meV per atom. The calculation puts the density of states at the Fermi level at 0.48 states/eV per atom. The space-group type is P6_3/mmc. The total energy is -4.533 eV per atom.

Unit cell a=8.162 b=6.174 c=4.712 alpha=90.00 beta=90.00 gamma=90.00
Atoms (fractional coordinates):
Tl1 0.000 0.000 0.000
Tl2 0.500 0.500 0.500
Tl3 0.500 0.000 0.500
Tl4 0.000 0.500 0.000
Au1 0.667 0.250 0.000
Au2 0.833 0.750 0.500
Au3 0.333 0.750 0.000
Au4 0.167 0.250 0.500
Ti1 0.333 0.250 0.000
Ti2 0.167 0.750 0.500
Ti3 0.667 0.750 0.000
Ti4 0.833 0.250 0.500


Entry 11:
First-principles (PBE) data for crystalline HOsSe3 at its relaxed geometry, as listed in Alexandria.

Calculated values
The calculation puts the density of states at the Fermi level at 0.69 states/eV per atom. The space-group type is Pm-3m. For the energy above the lowest structure with this stoichiometry, the calculation gives 196 meV per atom. The total energy is -3.783 eV per atom.

Unit cell a=4.189 b=4.189 c=4.189 alpha=90.00 beta=90.00 gamma=90.00
Atoms (fractional coordinates):
H1 0.000 0.000 0.000
Os1 0.500 0.500 0.500
Se1 0.000 0.500 0.000
Se2 0.000 0.000 0.500
Se3 0.500 0.000 0.000


Entry 12:
First-principles (PBE) data for crystalline La4Pr3Ga at its relaxed geometry, as listed in Alexandria.

Calculated values
For the formation energy, the calculation gives -126 meV per atom. The calculation puts the density of states at the Fermi level at 1.51 states/eV per atom. The space-group type is P4/mmm. The total energy is -4.760 eV per atom.

Unit cell a=3.772 b=3.772 c=19.398 alpha=90.00 beta=90.00 gamma=90.00
Atoms (fractional coordinates):
Pr1 0.500 0.500 0.232
Pr2 0.500 0.500 0.500
Pr3 0.500 0.500 0.768
Ga1 0.500 0.500 0.000
La1 0.000 0.000 0.907
La2 0.000 0.000 0.093
La3 0.000 0.000 0.365
La4 0.000 0.000 0.635